Here is a relaxed Li12Tl3Pd crystal from the Alexandria database. Energies are from PBE.

Geometry as POSCAR:
```
Li12Tl3Pd
1.0
4.1126 0.0000 0.0000
0.0000 4.1126 0.0000
0.0000 0.0000 17.0554
Li Tl Pd
12 3 1
direct
0.0000 0.0000 0.0000 Li
0.0000 0.0000 0.2373 Li
0.0000 0.0000 0.5000 Li
0.0000 0.0000 0.7627 Li
0.0000 0.5000 0.1051 Li
0.0000 0.5000 0.3681 Li
0.0000 0.5000 0.6319 Li
0.0000 0.5000 0.8949 Li
0.5000 0.0000 0.1051 Li
0.5000 0.0000 0.3681 Li
0.5000 0.0000 0.6319 Li
0.5000 0.0000 0.8949 Li
0.5000 0.5000 0.2371 Tl
0.5000 0.5000 0.5000 Tl
0.5000 0.5000 0.7629 Tl
0.5000 0.5000 0.0000 Pd
```

Total magnetic moment (μB per formula unit): 0.00
Raw total energy (hartree per atom): -0.0885
Calculated formation energy (kcal/mol of atoms): -4.7
DOS(E_F) (states/eV/atom): 0.409